A plane-wave DFT calculation with PBE was carried out for a relaxed Ac4NdSn2 crystal. Values from VASP.

## Properties
* SG: P1 (1)
* E_form: -0.308 eV/atom
* magnetization: 0.00 μB/f.u.

Structure (Quantum ESPRESSO input):
```
&SYSTEM
  ibrav = 0, nat = 14, ntyp = 3
/
ATOMIC_SPECIES
Ac 227.00 Ac.upf
Nd 144.24 Nd.upf
Sn 118.71 Sn.upf
CELL_PARAMETERS angstrom
7.078 0.000 0.000
1.851 8.818 0.000
2.269 2.816 8.741
ATOMIC_POSITIONS angstrom
Ac 0.000 0.000 0.000
Ac 2.594 5.896 6.178
Ac 4.435 9.423 5.313
Ac 6.249 5.530 8.234
Ac 6.097 5.895 4.149
Ac 7.859 9.272 8.046
Ac 8.025 9.461 4.057
Ac 7.714 3.318 2.009
Nd 2.859 6.245 2.460
Nd 5.105 9.104 1.864
Sn 4.160 8.181 8.332
Sn 4.041 3.263 3.103
Sn 4.681 3.149 6.282
Sn 7.585 3.230 5.789
```


A plane-wave DFT calculation with PBE was carried out for a relaxed CeAlTc2 crystal. Values from VASP.

## Properties
* SG: Fm-3m (225)
* E_form: -0.153 eV/atom
* magnetization: 0.00 μB/f.u.
* ΔE to the lowest computed polymorph: 0 meV/atom

Structure (Quantum ESPRESSO input):
```
&SYSTEM
  ibrav = 0, nat = 4, ntyp = 3
/
ATOMIC_SPECIES
Ce 140.12 Ce.upf
Al 26.98 Al.upf
Tc 98.00 Tc.upf
CELL_PARAMETERS angstrom
0.000 3.241 3.241
3.241 0.000 3.241
3.241 3.241 0.000
ATOMIC_POSITIONS angstrom
Ce 0.000 0.000 0.000
Al 3.241 3.241 3.241
Tc 1.621 1.621 1.621
Tc 4.862 4.862 4.862
```


A plane-wave DFT calculation with PBE was carried out for a relaxed Sr2Li2Ir crystal. Values from VASP.

## Properties
* SG: Immm (71)
* E_form: -0.037 eV/atom
* magnetization: 0.00 μB/f.u.
* ΔE to the lowest computed polymorph: 0 meV/atom

Structure (Quantum ESPRESSO input):
```
&SYSTEM
  ibrav = 0, nat = 5, ntyp = 3
/
ATOMIC_SPECIES
Sr 87.62 Sr.upf
Li 6.94 Li.upf
Ir 192.22 Ir.upf
CELL_PARAMETERS angstrom
-2.441 2.591 5.028
2.441 -2.591 5.028
2.441 2.591 -5.028
ATOMIC_POSITIONS angstrom
Sr 0.000 0.000 1.835
Sr 0.000 0.000 8.220
Li 2.441 1.424 0.000
Li 0.000 1.167 5.028
Ir 0.000 2.591 0.000
```


A plane-wave DFT calculation with PBE was carried out for a relaxed Dy3ScSi2 crystal. Values from VASP.

## Properties
* SG: Immm (71)
* uncorrected formation energy: -0.58 eV per atom
* magnetization: 0.00 μB/f.u.

Structure (Quantum ESPRESSO input):
```
&SYSTEM
  ibrav = 0, nat = 6, ntyp = 3
/
ATOMIC_SPECIES
Dy 162.50 Dy.upf
Sc 44.96 Sc.upf
Si 28.09 Si.upf
CELL_PARAMETERS angstrom
-2.108 2.167 7.815
2.108 -2.167 7.815
2.108 2.167 -7.815
ATOMIC_POSITIONS angstrom
Dy 0.000 0.000 0.000
Dy 2.108 0.000 2.805
Dy 0.000 2.167 5.010
Sc 0.000 0.000 7.815
Si 2.108 0.000 5.752
Si 0.000 2.167 2.062
```